No. 1
The following is a DFT calculation (PBE) of a geometry-optimized ReNiBr2 structure.

Results
Its space group is No. 71. As for the spin magnetization: 1.6 μB per cell. The calculation puts the final energy at -4.8716 eV/atom. For the energy above the most stable polymorph in this dataset, the calculation gives 0.191 eV per atom. The formation energy (no corrections) is 0.522 eV/atom.

a b c (Å): 7.6859 7.6859 7.6859
angles (deg): 156.80 148.58 39.42
Last column: magnetic moment on the atom in μB.
Fractional coordinates of all 4 atoms:
Br1 0.1077 0.1077 0.0000  -0.03
Br2 0.3923 0.3923 0.0000  -0.03
Re1 0.2500 0.7500 0.5000  -0.74
Ni1 0.7500 0.2500 0.5000  -0.69

---

No. 2
The following is a DFT calculation (PBE) of a geometry-optimized RbTl3I structure.

Results
Its space group is No. 221. As for the spin magnetization: 0.0 μB per cell. The calculation puts the final energy at -1.4974 eV/atom. For the energy above the most stable polymorph in this dataset, the calculation gives 0.438 eV per atom. The formation energy (no corrections) is 0.426 eV/atom.

a b c (Å): 6.6357 6.6357 6.6357
angles (deg): 90.00 90.00 90.00
Fractional coordinates of all 5 atoms:
Tl1 0.5000 0.0000 0.0000
Tl2 0.0000 0.5000 0.0000
Tl3 0.0000 0.0000 0.5000
I1 0.5000 0.5000 0.5000
Rb1 0.0000 0.0000 0.0000